1.
The following is a PBE-GGA calculation of CoPHC2 after structural relaxation, from Alexandria via LeMat-Bulk.

Cell lengths 3.5765, 3.1719, 3.5765 Å; angles 90.00, 90.00, 90.00 degrees
Fractional coordinates of all 5 atoms:
C (0.5000, 0.0000, 0.0000)
P (0.0000, 0.5000, 0.0000)
C (0.0000, 0.0000, 0.5000)
H (0.0000, 0.0000, 0.0000)
Co (0.5000, 0.5000, 0.5000)

## Properties
The value obtained for the total DFT energy (no corrections) is -4.7917 eV per atom.

---

2.
The following is a PBE-GGA calculation of CoH2CS after structural relaxation, from Alexandria via LeMat-Bulk.

Cell lengths 2.7792, 4.0325, 5.3032 Å; angles 87.54, 78.80, 89.99 degrees
Each line ends with the local moment (μB).
Fractional coordinates of all 5 atoms:
Co (0.6045, 0.0323, 0.6216)  0.56
H (0.9919, 0.4202, 0.9266)  0.00
S (0.1582, 0.6194, 0.4770)  0.08
H (0.5053, 0.9257, 0.8899)  -0.01
C (0.0622, 0.3174, 0.7353)  0.00

## Properties
The value obtained for the total DFT energy (no corrections) is -5.1170 eV per atom.

---

3.
The following is a PBE-GGA calculation of CoH2CS after structural relaxation, from Alexandria via LeMat-Bulk.

Cell lengths 3.6265, 3.7218, 4.3946 Å; angles 100.47, 94.53, 116.46 degrees
Fractional coordinates of all 5 atoms:
H (0.6360, 0.6489, 0.1028)
Co (0.8713, 0.7432, 0.5613)
C (0.8255, 0.5590, 0.9476)
H (0.1073, 0.5749, 0.0722)
S (0.5465, 0.1111, 0.6382)

## Properties
The value obtained for the total DFT energy (no corrections) is -5.2666 eV per atom.

---

4.
The following is a PBE-GGA calculation of CoH2CS after structural relaxation, from Alexandria via LeMat-Bulk.

Cell lengths 3.6317, 3.5835, 5.4266 Å; angles 103.76, 93.22, 117.21 degrees
Fractional coordinates of all 5 atoms:
Co (0.3338, 0.2635, 0.7075)
H (0.0946, 0.6530, 0.9545)
S (0.6574, 0.8938, 0.6269)
C (0.8291, 0.3228, 0.9294)
H (0.7975, 0.2163, 0.1038)

## Properties
The value obtained for the total DFT energy (no corrections) is -5.2502 eV per atom.

---

5.
The following is a PBE-GGA calculation of CoH2CS after structural relaxation, from Alexandria via LeMat-Bulk.

Cell lengths 2.6132, 3.9293, 6.0996 Å; angles 90.36, 100.62, 109.55 degrees
Each line ends with the local moment (μB).
Fractional coordinates of all 5 atoms:
H (0.2741, 0.1356, 0.9340)  0.00
Co (0.0256, 0.3281, 0.2963)  0.07
S (0.3557, 0.8913, 0.4106)  0.00
C (0.4436, 0.3687, 0.0584)  0.00
H (0.5381, 0.6258, 0.9785)  0.00

## Properties
The value obtained for the total DFT energy (no corrections) is -5.2867 eV per atom.

---

6.
The following is a PBE-GGA calculation of CoH2CS after structural relaxation, from Alexandria via LeMat-Bulk.

Cell lengths 3.5196, 4.4281, 5.5079 Å; angles 68.24, 71.38, 66.42 degrees
Each line ends with the local moment (μB).
Fractional coordinates of all 5 atoms:
C (0.4939, 0.6710, 0.4228)  -0.02
H (0.8073, 0.8074, 0.6581)  -0.01
H (0.6143, 0.3831, 0.4705)  0.02
S (0.4975, 0.9804, 0.1039)  0.07
Co (0.9500, 0.8086, 0.3720)  0.68

## Properties
The value obtained for the total DFT energy (no corrections) is -4.9659 eV per atom.

---

7.
The following is a PBE-GGA calculation of CoH2CS after structural relaxation, from Alexandria via LeMat-Bulk.

Cell lengths 3.6409, 3.8463, 3.7803 Å; angles 116.21, 90.08, 103.13 degrees
Fractional coordinates of all 5 atoms:
H (0.6451, 0.0350, 0.6728)
C (0.6231, 0.0020, 0.9492)
S (0.2670, 0.5644, 0.8195)
H (0.9917, 0.9095, 0.3491)
Co (0.1447, 0.1669, 0.1688)

## Properties
The value obtained for the total DFT energy (no corrections) is -5.0865 eV per atom.

---

8.
The following is a PBE-GGA calculation of CoH2CS after structural relaxation, from Alexandria via LeMat-Bulk.

Cell lengths 3.3181, 3.9447, 5.2102 Å; angles 90.00, 100.21, 90.00 degrees
Fractional coordinates of all 5 atoms:
C (0.5979, 0.0000, 0.0063)
H (0.5333, 0.0000, 0.7883)
H (0.8487, 0.5000, 0.4269)
Co (0.1313, 0.0000, 0.1379)
S (0.1976, 0.5000, 0.3184)

## Properties
The value obtained for the total DFT energy (no corrections) is -5.1008 eV per atom.

---

9.
The following is a PBE-GGA calculation of CoH2CS after structural relaxation, from Alexandria via LeMat-Bulk.

Cell lengths 3.2964, 3.4052, 4.1882 Å; angles 78.00, 88.09, 88.72 degrees
Fractional coordinates of all 5 atoms:
C (0.0256, 0.0829, 0.9186)
H (0.7844, 0.8489, 0.9140)
H (0.4586, 0.6524, 0.6175)
S (0.9863, 0.2586, 0.2656)
Co (0.4698, 0.1511, 0.6126)

## Properties
The value obtained for the total DFT energy (no corrections) is -5.0666 eV per atom.

---

10.
The following is a PBE-GGA calculation of CoH2CS after structural relaxation, from Alexandria via LeMat-Bulk.

Cell lengths 3.9390, 2.6749, 5.6462 Å; angles 90.00, 90.00, 90.00 degrees
Fractional coordinates of all 5 atoms:
S (0.0000, 0.5000, 0.5684)
H (0.7308, 0.0000, 0.0527)
Co (0.5000, 0.5000, 0.7051)
H (0.2692, 0.0000, 0.0527)
C (0.5000, 0.0000, 0.9432)

## Properties
The value obtained for the total DFT energy (no corrections) is -5.2681 eV per atom.

---

11.
The following is a PBE-GGA calculation of CoH2CS after structural relaxation, from Alexandria via LeMat-Bulk.

Cell lengths 2.5785, 3.1143, 7.1117 Å; angles 92.72, 92.00, 114.48 degrees
Fractional coordinates of all 5 atoms:
H (0.5600, 0.3368, 0.9943)
H (0.3107, 0.9674, 0.3392)
Co (0.7935, 0.8599, 0.7090)
C (0.4957, 0.2386, 0.8418)
S (0.1215, 0.5701, 0.4378)

## Properties
The value obtained for the total DFT energy (no corrections) is -5.0869 eV per atom.

---

12.
The following is a PBE-GGA calculation of CoH2CS after structural relaxation, from Alexandria via LeMat-Bulk.

Cell lengths 2.5757, 2.7856, 7.3171 Å; angles 81.11, 81.57, 65.30 degrees
Fractional coordinates of all 5 atoms:
H (0.5978, 0.0144, 0.1594)
C (0.6385, 0.0867, 0.0072)
Co (0.0117, 0.4792, 0.8547)
S (0.1032, 0.5805, 0.5364)
H (0.3673, 0.8665, 0.7645)

## Properties
The value obtained for the total DFT energy (no corrections) is -4.9990 eV per atom.

---

13.
The following is a PBE-GGA calculation of HfCo2C after structural relaxation, from Alexandria via LeMat-Bulk.

Cell lengths 6.3901, 6.3901, 5.1166 Å; angles 51.36, 51.36, 90.00 degrees
Fractional coordinates of all 8 atoms:
Co (0.3750, 0.4998, 0.7500)
C (0.2500, 0.7500, 0.5000)
C (0.5000, 0.5000, 0.0000)
Co (0.8750, 0.7502, 0.7500)
Co (0.2498, 0.6250, 0.2500)
Hf (0.7500, 0.2500, 0.5000)
Co (0.5002, 0.1250, 0.2500)
Hf (0.0000, 0.0000, 0.0000)

## Properties
As for the formation energy: -0.045 eV/atom.

---

14.
The following is a PBE-GGA calculation of Hf3CoC after structural relaxation, from Alexandria via LeMat-Bulk.

Cell lengths 4.5165, 5.6239, 7.6994 Å; angles 67.20, 72.94, 66.32 degrees
Fractional coordinates of all 10 atoms:
Hf (0.3665, 0.3481, 0.9190)
C (0.8719, 0.3294, 0.9268)
Hf (0.1514, 0.3364, 0.3609)
Co (0.6273, 0.1872, 0.5581)
Hf (0.1065, 0.0003, 0.7867)
C (0.1281, 0.6706, 0.0732)
Hf (0.8486, 0.6636, 0.6391)
Hf (0.8935, 0.9997, 0.2133)
Co (0.3727, 0.8128, 0.4419)
Hf (0.6335, 0.6519, 0.0810)

## Properties
As for the formation energy: -0.424 eV/atom.

---

15.
The following is a PBE-GGA calculation of Hf4CoC after structural relaxation, from Alexandria via LeMat-Bulk.

Cell lengths 5.7036, 6.1446, 7.2410 Å; angles 108.55, 106.22, 105.65 degrees
Fractional coordinates of all 12 atoms:
Hf (0.0201, 0.7979, 0.0950)
Co (0.6318, 0.3818, 0.7636)
Hf (0.1954, 0.3593, 0.4061)
C (0.1904, 0.9404, 0.8808)
Hf (0.8046, 0.6407, 0.5939)
Co (0.3682, 0.6182, 0.2364)
Hf (0.2893, 0.9532, 0.5939)
C (0.8096, 0.0596, 0.1192)
Hf (0.4251, 0.7029, 0.9050)
Hf (0.5749, 0.2971, 0.0950)
Hf (0.9799, 0.2021, 0.9050)
Hf (0.7107, 0.0468, 0.4061)

## Properties
As for the formation energy: -0.307 eV/atom.

---

16.
The following is a PBE-GGA calculation of Hf3CoC after structural relaxation, from Alexandria via LeMat-Bulk.

Cell lengths 4.6841, 4.6841, 4.6841 Å; angles 90.00, 90.00, 90.00 degrees
Fractional coordinates of all 5 atoms:
Co (0.0000, 0.0000, 0.0000)
C (0.5000, 0.5000, 0.5000)
Hf (0.5000, 0.0000, 0.0000)
Hf (0.0000, 0.0000, 0.5000)
Hf (0.0000, 0.5000, 0.0000)

## Properties
As for the formation energy: 1.187 eV/atom.

---

17.
The following is a PBE-GGA calculation of Hf6Co3C after structural relaxation, from Alexandria via LeMat-Bulk.

Cell lengths 5.8192, 6.6048, 8.9326 Å; angles 90.00, 86.33, 90.00 degrees
Fractional coordinates of all 20 atoms:
C (0.5000, 0.5000, 0.5000)
Hf (0.1417, 0.3114, 0.0708)
Co (0.0657, 0.6132, 0.2511)
Hf (0.8221, 0.6636, 0.5620)
Hf (0.1531, 0.0453, 0.7601)
Co (0.4343, 0.1132, 0.2489)
Co (0.0000, 0.0000, 0.5000)
Hf (0.3583, 0.8114, 0.4292)
Hf (0.6531, 0.4547, 0.2601)
Hf (0.3469, 0.5453, 0.7399)
C (0.0000, 0.0000, 0.0000)
Co (0.5000, 0.5000, 0.0000)
Hf (0.6417, 0.1886, 0.5708)
Co (0.5657, 0.8868, 0.7511)
Hf (0.3221, 0.8364, 0.0620)
Hf (0.8469, 0.9547, 0.2399)
Hf (0.8583, 0.6886, 0.9292)
Co (0.9343, 0.3868, 0.7489)
Hf (0.1779, 0.3364, 0.4380)
Hf (0.6779, 0.1636, 0.9380)

## Properties
As for the formation energy: -0.332 eV/atom.

---

18.
The following is a PBE-GGA calculation of HfCoC3 after structural relaxation, from Alexandria via LeMat-Bulk.

Cell lengths 4.1982, 4.1982, 4.1982 Å; angles 90.00, 90.00, 90.00 degrees
Fractional coordinates of all 5 atoms:
Hf (0.0000, 0.0000, 0.0000)
C (0.5000, 0.0000, 0.0000)
C (0.0000, 0.5000, 0.0000)
Co (0.5000, 0.5000, 0.5000)
C (0.0000, 0.0000, 0.5000)

## Properties
As for the formation energy: 2.533 eV/atom.

---

19.
The following is a PBE-GGA calculation of Hf2CoC after structural relaxation, from Alexandria via LeMat-Bulk.

Cell lengths 6.1886, 6.1886, 5.4995 Å; angles 55.76, 55.76, 90.00 degrees
Fractional coordinates of all 8 atoms:
Hf (0.1683, 0.6250, 0.2500)
Hf (0.5817, 0.1250, 0.2500)
Hf (0.8750, 0.8317, 0.7500)
Co (0.0000, 0.0000, 0.0000)
C (0.2500, 0.7500, 0.5000)
Hf (0.3750, 0.4183, 0.7500)
C (0.5000, 0.5000, 0.0000)
Co (0.7500, 0.2500, 0.5000)

## Properties
As for the formation energy: 0.044 eV/atom.

---

20.
The following is a PBE-GGA calculation of HfCoC3 after structural relaxation, from Alexandria via LeMat-Bulk.

Cell lengths 3.7242, 3.7242, 3.7242 Å; angles 90.00, 90.00, 90.00 degrees
Fractional coordinates of all 5 atoms:
C (0.0000, 0.5000, 0.0000)
Co (0.0000, 0.0000, 0.0000)
C (0.5000, 0.0000, 0.0000)
C (0.0000, 0.0000, 0.5000)
Hf (0.5000, 0.5000, 0.5000)

## Properties
As for the formation energy: 1.359 eV/atom.

---

21.
The following is a PBE-GGA calculation of Hf4CoC2 after structural relaxation, from Alexandria via LeMat-Bulk.

Cell lengths 3.2893, 5.7234, 11.7425 Å; angles 90.00, 90.00, 106.70 degrees
Fractional coordinates of all 14 atoms:
Hf (0.7711, 0.5422, 0.1112)
Hf (0.5000, 0.0000, 0.5000)
Hf (0.2289, 0.4578, 0.6112)
Hf (0.7711, 0.5422, 0.3888)
Hf (0.9392, 0.8783, 0.7500)
Hf (0.5000, 0.0000, 0.0000)
C (0.8651, 0.7302, 0.5608)
Co (0.3879, 0.7757, 0.2500)
C (0.1349, 0.2698, 0.0608)
Hf (0.2289, 0.4578, 0.8888)
C (0.1349, 0.2698, 0.4392)
Co (0.6121, 0.2243, 0.7500)
C (0.8651, 0.7302, 0.9392)
Hf (0.0608, 0.1217, 0.2500)

## Properties
As for the formation energy: -0.671 eV/atom.

---

22.
The following is a PBE-GGA calculation of Hf6CoC after structural relaxation, from Alexandria via LeMat-Bulk.

Cell lengths 5.7473, 5.7487, 6.3719 Å; angles 63.21, 63.21, 60.00 degrees
Fractional coordinates of all 8 atoms:
Co (0.5000, 0.5000, 0.5000)
Hf (0.7662, 0.0617, 0.7621)
Hf (0.0619, 0.4097, 0.7622)
Hf (0.2338, 0.9383, 0.2379)
Hf (0.5902, 0.2339, 0.2377)
Hf (0.4098, 0.7661, 0.7623)
Hf (0.9381, 0.5903, 0.2378)
C (0.0000, 0.0000, 0.0000)

## Properties
As for the formation energy: -0.170 eV/atom.

---

23.
The following is a PBE-GGA calculation of Hf12Co6C after structural relaxation, from Alexandria via LeMat-Bulk.

Cell lengths 7.2073, 7.2073, 7.2073 Å; angles 98.27, 98.27, 98.27 degrees
Fractional coordinates of all 19 atoms:
Hf (0.8235, 0.5817, 0.4177)
Co (0.1314, 0.6194, 0.3031)
Co (0.8686, 0.3806, 0.6969)
Hf (0.9216, 0.0402, 0.6899)
Hf (0.0784, 0.9598, 0.3101)
Hf (0.5823, 0.1765, 0.4183)
C (0.0000, 0.0000, 0.0000)
Hf (0.4177, 0.8235, 0.5817)
Co (0.3806, 0.6969, 0.8686)
Hf (0.6899, 0.9216, 0.0402)
Hf (0.4183, 0.5823, 0.1765)
Hf (0.5817, 0.4177, 0.8235)
Hf (0.3101, 0.0784, 0.9598)
Co (0.3031, 0.1314, 0.6194)
Hf (0.1765, 0.4183, 0.5823)
Co (0.6969, 0.8686, 0.3806)
Co (0.6194, 0.3031, 0.1314)
Hf (0.0402, 0.6899, 0.9216)
Hf (0.9598, 0.3101, 0.0784)

## Properties
As for the formation energy: -0.141 eV/atom.

---

24.
The following is a PBE-GGA calculation of Hf2InCoC after structural relaxation, from Alexandria via LeMat-Bulk.

Cell lengths 5.0480, 3.5313, 5.0480 Å; angles 90.00, 90.00, 90.00 degrees
Fractional coordinates of all 5 atoms:
Hf (0.5000, 0.0000, 0.0000)
In (0.5000, 0.5000, 0.5000)
Co (0.0000, 0.0000, 0.0000)
C (0.0000, 0.5000, 0.0000)
Hf (0.0000, 0.0000, 0.5000)

## Properties
As for the formation energy: 0.410 eV/atom.

---

25.
The following is a PBE-GGA calculation of Hf2MnCoC after structural relaxation, from Alexandria via LeMat-Bulk.

Cell lengths 4.7430, 3.5920, 4.7430 Å; angles 90.00, 90.00, 90.00 degrees
Each line ends with the local moment (μB).
Fractional coordinates of all 5 atoms:
Hf (0.0000, 0.0000, 0.5000)  -0.01
Hf (0.5000, 0.0000, 0.0000)  0.01
C (0.0000, 0.5000, 0.0000)  0.00
Mn (0.0000, 0.0000, 0.0000)  0.10
Co (0.5000, 0.5000, 0.5000)  -0.01

## Properties
As for the formation energy: 0.740 eV/atom.